[1]
Here is crystalline CeBrCl at its relaxed geometry from Alexandria via LeMat-Bulk. Energies are from GGA-PBE.

Structure (extended XYZ):
```
12
Lattice="7.1344 0.0000 0.0000 0.0000 7.5451 0.0000 -5.0005 0.0000 6.8149" Properties=species:S:1:pos:R:3 pbc="T T T"
Ce 0.4761 1.6501 0.3494
Ce -2.0241 2.1224 3.7569
Ce 4.1580 5.4227 3.0580
Ce 1.6578 5.8950 6.4655
Br -0.5714 4.6840 4.8200
Br 1.9289 6.6337 1.4126
Br 0.2051 0.9114 5.4024
Br 2.7053 2.8611 1.9949
Cl -1.3935 7.5445 1.9027
Cl 3.5275 0.0006 4.9122
Cl 6.0277 3.7719 1.5047
Cl -3.8938 3.7732 5.3102
```

The density of states at the Fermi level comes out at 27.89 states/eV/cell. The uncorrected formation energy is -1.706 eV/atom.

***

[2]
Here is crystalline Cs2CeBr2Cl4 at its relaxed geometry from Alexandria via LeMat-Bulk. Energies are from GGA-PBE.

Structure (extended XYZ):
```
9
Lattice="-3.9502 3.9502 5.4983 3.9502 -3.9502 5.4983 3.9502 3.9502 -5.4983" Properties=species:S:1:pos:R:3 pbc="T T T"
Cs 3.9502 0.0000 2.7492
Cs 0.0000 3.9502 2.7492
Ce 0.0000 0.0000 0.0000
Br 0.0000 0.0000 2.8007
Br 0.0000 0.0000 8.1959
Cl 1.8603 1.8603 0.0000
Cl 2.0899 -2.0899 5.4983
Cl -2.0899 2.0899 5.4983
Cl 2.0899 2.0899 5.4983
```

The uncorrected formation energy is -1.956 eV/atom.

***

[3]
Here is crystalline Cs2CeBr3Cl3 at its relaxed geometry from Alexandria via LeMat-Bulk. Energies are from GGA-PBE.

Structure (extended XYZ):
```
9
Lattice="8.8732 0.0000 0.0000 -4.4366 7.6844 0.0000 0.0000 0.0000 4.4388" Properties=species:S:1:pos:R:3 pbc="T T T"
Cs 0.0000 5.1229 0.0000
Cs 4.4366 2.5615 0.0000
Ce 0.0000 0.0000 2.2194
Br -2.9350 5.0836 2.2194
Br 1.5016 2.6008 2.2194
Br 5.8701 0.0000 2.2194
Cl -0.9419 1.6314 0.0000
Cl 1.8837 0.0000 0.0000
Cl 3.4947 6.0530 0.0000
```

The density of states at the Fermi level comes out at 3.31 states/eV/cell. The uncorrected formation energy is -1.791 eV/atom.

***

[4]
Here is crystalline Cs2CeBrCl6 at its relaxed geometry from Alexandria via LeMat-Bulk. Energies are from GGA-PBE.

Structure (extended XYZ):
```
10
Lattice="6.3404 0.0000 0.0000 -0.5394 7.6697 0.0000 -3.1353 -3.0545 7.8978" Properties=species:S:1:pos:R:3 pbc="T T T"
Cs -0.3520 2.1444 1.8028
Cs 3.0176 2.4708 6.0949
Ce 1.6025 -1.5273 3.9489
Br 2.9005 3.8349 0.0000
Cl -0.3629 6.1031 1.7381
Cl -0.0482 0.2689 5.0265
Cl -0.2366 4.0661 4.9201
Cl 2.9023 0.5491 2.9777
Cl 2.7139 4.3463 2.8713
Cl 3.0285 -1.4879 6.1597
```

The uncorrected formation energy is -1.755 eV/atom.

***

[5]
Here is crystalline CsCeBrCl3 at its relaxed geometry from Alexandria via LeMat-Bulk. Energies are from GGA-PBE.

Structure (extended XYZ):
```
12
Lattice="7.7388 -3.9144 0.0000 7.7388 3.9144 0.0000 -0.1200 0.0000 7.6490" Properties=species:S:1:pos:R:3 pbc="T T T"
Cs 3.2409 0.0000 2.0010
Cs 12.1166 0.0000 5.6480
Ce 7.0997 0.0000 5.4807
Ce 8.2578 0.0000 2.1684
Br 7.7388 1.9625 0.0000
Br 7.7388 -1.9625 0.0000
Cl 6.1184 1.6422 3.3741
Cl 4.5682 0.0000 6.3635
Cl 9.2391 1.6422 4.2750
Cl 6.1184 -1.6422 3.3741
Cl 10.7893 0.0000 1.2856
Cl 9.2391 -1.6422 4.2750
```

The density of states at the Fermi level comes out at 9.08 states/eV/cell. The uncorrected formation energy is -2.041 eV/atom.

***

[6]
Here is crystalline CeBrClF at its relaxed geometry from Alexandria via LeMat-Bulk. Energies are from GGA-PBE.

Structure (extended XYZ):
```
4
Lattice="2.0844 1.2034 7.2382 -2.0844 1.2034 7.2382 0.0000 -2.4069 7.2382" Properties=species:S:1:pos:R:3 pbc="T T T"
Ce 0.0000 0.0000 0.0000
Br 0.0000 0.0000 16.4653
Cl 0.0000 0.0000 12.7277
F 0.0000 0.0000 7.2345
```

The density of states at the Fermi level comes out at 7.67 states/eV/cell. The uncorrected formation energy is -2.682 eV/atom.

***

[7]
Here is crystalline Ce2H2BrCl at its relaxed geometry from Alexandria via LeMat-Bulk. Energies are from GGA-PBE.

Structure (extended XYZ):
```
6
Lattice="3.9306 0.0000 0.0000 -1.9653 3.4040 0.0000 0.0000 0.0000 8.3224" Properties=species:S:1:pos:R:3 pbc="T T T"
Ce 0.0000 2.2694 2.3883
Ce 1.9653 1.1347 5.9341
H 0.0000 2.2694 6.1994
H 1.9653 1.1347 2.1230
Br 0.0000 0.0000 0.0000
Cl 0.0000 0.0000 4.1612
```

As for the energy: -4.73 eV per atom. The density of states at the Fermi level comes out at 10.96 states/eV/cell.

***

[8]
Here is crystalline CeIBrCl at its relaxed geometry from Alexandria via LeMat-Bulk. Energies are from GGA-PBE.

Structure (extended XYZ):
```
4
Lattice="4.1415 -2.3979 0.0000 4.1415 2.3979 0.0000 -2.7717 0.0000 7.5384" Properties=species:S:1:pos:R:3 pbc="T T T"
Ce 0.0000 0.0000 0.0000
I 2.7545 0.0000 2.1250
Br -0.0189 0.0000 5.7330
Cl 2.7464 0.0000 7.4856
```

The density of states at the Fermi level comes out at 7.49 states/eV/cell. The uncorrected formation energy is -1.643 eV/atom.